# Lu2BI

Crystalline Lu2BI at its relaxed geometry (PBE-GGA, the Alexandria database).

## Properties
- calculated volume (Å³/cell) = 286.1
- crystal system = trigonal
- energy relative to the elements, uncorrected (meV/atom) = -596.6

a = 3.8778 Å, b = 3.8778 Å, c = 21.9692 Å
α = 90.00°, β = 90.00°, γ = 120.00°
Space group R-3m (No. 166, hexagonal axes)
One atom of each set of equivalent atoms:
Lu  0.0000  0.0000  0.2226 x6
B  0.0000  0.0000  0.5000 x3
I  0.0000  0.0000  0.0000 x3

=====

# Mg2BI2

Crystalline Mg2BI2 at its relaxed geometry (PBE-GGA, the Alexandria database).

## Properties
- calculated volume (Å³/cell) = 310.1
- crystal system = tetragonal
- energy relative to the elements, uncorrected (meV/atom) = 659.4

a = 8.487 Å, b = 8.487 Å, c = 4.306 Å
α = 90.00°, β = 90.00°, γ = 90.00°
Space group P4/mbm (No. 127)
One atom of each set of equivalent atoms:
Mg  0.116  0.384  0.000 x4
B  0.000  0.000  0.500 x2
I  0.227  0.727  0.500 x4

=====

# Mg2BI2

Crystalline Mg2BI2 at its relaxed geometry (PBE-GGA, the Alexandria database).

## Properties
- calculated volume (Å³/cell) = 295.5
- crystal system = tetragonal
- energy relative to the elements, uncorrected (meV/atom) = 856.9

a = 4.044 Å, b = 4.044 Å, c = 18.062 Å
α = 90.00°, β = 90.00°, γ = 90.00°
Space group I4/mmm (No. 139)
One atom of each set of equivalent atoms:
Mg  0.000  0.500  0.250 x4
B  0.000  0.000  0.000 x2
I  0.000  0.000  0.400 x4

=====

# MgB2I8

Crystalline MgB2I8 at its relaxed geometry (PBE-GGA, the Alexandria database).

## Properties
- calculated volume (Å³/cell) = 1157.7
- crystal system = monoclinic
- energy relative to the elements, uncorrected (meV/atom) = -214.8

a = 11.047 Å, b = 12.291 Å, c = 8.735 Å
α = 90.00°, β = 102.55°, γ = 90.00°
Space group C2/m (No. 12)
One atom of each set of equivalent atoms:
Mg  0.000  0.000  0.000 x2
B  0.236  0.500  0.231 x4
I  0.055  0.500  0.274 x4
I  0.173  0.150  0.794 x8
I  0.186  0.000  0.246 x4

=====

# Mg8B5IN10

Crystalline Mg8B5IN10 at its relaxed geometry (PBE-GGA, the Alexandria database).

## Properties
- calculated volume (Å³/cell) = 1449.4
- crystal system = orthorhombic
- energy relative to the elements, uncorrected (meV/atom) = -967.4

a = 9.388 Å, b = 13.672 Å, c = 11.292 Å
α = 90.00°, β = 90.00°, γ = 90.00°
Space group Imma (No. 74)
One atom of each set of equivalent atoms:
Mg  0.204  0.250  0.025 x8
Mg  0.249  0.000  0.000 x8
Mg  0.250  0.066  0.250 x8
Mg  0.250  0.145  0.750 x8
B  0.000  0.044  0.648 x8
B  0.000  0.114  0.099 x8
B  0.000  0.250  0.847 x4
I  0.000  0.250  0.402 x4
N  0.143  0.043  0.650 x16
N  0.143  0.115  0.097 x16
N  0.143  0.250  0.849 x8

=====

# MgBIO2

Crystalline MgBIO2 at its relaxed geometry (PBE-GGA, the Alexandria database).

## Properties
- calculated volume (Å³/cell) = 96.8
- crystal system = tetragonal
- energy relative to the elements, uncorrected (meV/atom) = 249.6

a = 3.846 Å, b = 3.846 Å, c = 6.542 Å
α = 90.00°, β = 90.00°, γ = 90.00°
Space group P4/mmm (No. 123)
One atom of each set of equivalent atoms:
Mg  0.000  0.000  0.000 x1
B  0.500  0.500  0.500 x1
I  0.000  0.000  0.500 x1
O  0.000  0.500  0.000 x2

=====

# MgBIO2

Crystalline MgBIO2 at its relaxed geometry (PBE-GGA, the Alexandria database).

## Properties
- calculated volume (Å³/cell) = 67.0
- crystal system = tetragonal
- energy relative to the elements, uncorrected (meV/atom) = 53.9

a = 3.723 Å, b = 3.723 Å, c = 4.830 Å
α = 90.00°, β = 90.00°, γ = 90.00°
Space group P4/mmm (No. 123)
One atom of each set of equivalent atoms:
Mg  0.000  0.000  0.000 x1
B  0.500  0.500  0.500 x1
I  0.500  0.500  0.000 x1
O  0.000  0.500  0.500 x2

=====

# RbMgB2I

Crystalline RbMgB2I at its relaxed geometry (PBE-GGA, the Alexandria database).

## Properties
- calculated volume (Å³/cell) = 166.6
- crystal system = tetragonal
- energy relative to the elements, uncorrected (meV/atom) = 1811.5

a = 5.463 Å, b = 5.463 Å, c = 5.584 Å
α = 90.00°, β = 90.00°, γ = 90.00°
Space group P4/mmm (No. 123)
One atom of each set of equivalent atoms:
Rb  0.000  0.000  0.000 x1
Mg  0.500  0.500  0.000 x1
B  0.000  0.500  0.500 x2
I  0.500  0.500  0.500 x1

=====

# MgBSbI2

Crystalline MgBSbI2 at its relaxed geometry (PBE-GGA, the Alexandria database).

## Properties
- calculated volume (Å³/cell) = 177.3
- crystal system = tetragonal
- energy relative to the elements, uncorrected (meV/atom) = 995.3

a = 5.647 Å, b = 5.647 Å, c = 5.560 Å
α = 90.00°, β = 90.00°, γ = 90.00°
Space group P4/mmm (No. 123)
One atom of each set of equivalent atoms:
Mg  0.000  0.000  0.000 x1
B  0.500  0.500  0.500 x1
Sb  0.000  0.000  0.500 x1
I  0.000  0.500  0.000 x2

=====

# MgBSbI2

Crystalline MgBSbI2 at its relaxed geometry (PBE-GGA, the Alexandria database).

## Properties
- calculated volume (Å³/cell) = 131.1
- crystal system = tetragonal
- energy relative to the elements, uncorrected (meV/atom) = 642.6

a = 5.051 Å, b = 5.051 Å, c = 5.141 Å
α = 90.00°, β = 90.00°, γ = 90.00°
Space group P4/mmm (No. 123)
One atom of each set of equivalent atoms:
Mg  0.000  0.000  0.000 x1
B  0.500  0.500  0.500 x1
Sb  0.500  0.500  0.000 x1
I  0.000  0.500  0.500 x2

=====

# MgBSb2I

Crystalline MgBSb2I at its relaxed geometry (PBE-GGA, the Alexandria database).

## Properties
- calculated volume (Å³/cell) = 125.7
- crystal system = tetragonal
- energy relative to the elements, uncorrected (meV/atom) = 693.6

a = 4.861 Å, b = 4.861 Å, c = 5.318 Å
α = 90.00°, β = 90.00°, γ = 90.00°
Space group P4/mmm (No. 123)
One atom of each set of equivalent atoms:
Mg  0.000  0.000  0.000 x1
B  0.500  0.500  0.500 x1
Sb  0.000  0.500  0.500 x2
I  0.500  0.500  0.000 x1

=====

# MgBSb2I

Crystalline MgBSb2I at its relaxed geometry (PBE-GGA, the Alexandria database).

## Properties
- calculated volume (Å³/cell) = 165.7
- crystal system = tetragonal
- energy relative to the elements, uncorrected (meV/atom) = 1284.5

a = 5.386 Å, b = 5.386 Å, c = 5.713 Å
α = 90.00°, β = 90.00°, γ = 90.00°
Space group P4/mmm (No. 123)
One atom of each set of equivalent atoms:
Mg  0.000  0.000  0.000 x1
B  0.500  0.500  0.500 x1
Sb  0.000  0.500  0.000 x2
I  0.000  0.000  0.500 x1